i) First-principles (GGA-PBE) data for Na2Cd3Hg2 after structural relaxation, as listed in the Alexandria database.

Structure (CIF):
```
data_Na2Cd3Hg2
_cell_length_a 10.6042
_cell_length_b 4.7283
_cell_length_c 7.6686
_cell_angle_alpha 90.00
_cell_angle_beta 111.03
_cell_angle_gamma 90.00
_space_group_name_H-M_alt 'C 1 2/m 1'
_space_group_IT_number 12
loop_
_space_group_symop_operation_xyz
'x,y,z'
'-x,-y,-z'
'-x,y,-z'
'x,-y,z'
'x+1/2,y+1/2,z'
'-x+1/2,-y+1/2,-z'
'-x+1/2,y+1/2,-z'
'x+1/2,-y+1/2,z'
loop_
_atom_site_label
_atom_site_type_symbol
_atom_site_fract_x
_atom_site_fract_y
_atom_site_fract_z
Na1 Na 0.1360 0.0000 0.2710
Cd1 Cd 0.0000 0.5000 0.5000
Cd2 Cd 0.1142 0.5000 0.9300
Hg1 Hg 0.1615 0.0000 0.7040
```

Output
The calculated density comes out at 7.26 Mg/m³. The calculation puts the size of the total moment at 0.0 μB/cell.

***

ii) First-principles (GGA-PBE) data for Na2Cd3Hg2 after structural relaxation, as listed in the Alexandria database.

Structure (CIF):
```
data_Na2Cd3Hg2
_cell_length_a 10.0286
_cell_length_b 4.6082
_cell_length_c 7.4039
_cell_angle_alpha 90.00
_cell_angle_beta 97.13
_cell_angle_gamma 90.00
_space_group_name_H-M_alt 'C 1 2/m 1'
_space_group_IT_number 12
loop_
_space_group_symop_operation_xyz
'x,y,z'
'-x,-y,-z'
'-x,y,-z'
'x,-y,z'
'x+1/2,y+1/2,z'
'-x+1/2,-y+1/2,-z'
'-x+1/2,y+1/2,-z'
'x+1/2,-y+1/2,z'
loop_
_atom_site_label
_atom_site_type_symbol
_atom_site_fract_x
_atom_site_fract_y
_atom_site_fract_z
Na1 Na 0.0748 0.0000 0.2112
Cd1 Cd 0.0000 0.5000 0.5000
Cd2 Cd 0.2115 0.0000 0.6340
Hg1 Hg 0.1410 0.5000 0.9221
```

Output
The calculated density comes out at 7.67 Mg/m³. The calculation puts the size of the total moment at 0.0 μB/cell.

***

It turns out i) is the most stable, with the second structure 0.008 eV/atom higher.